Record 1
This record from the Alexandria database describes a PBEsol-optimized structure of Hg3W. The functional is meta-GGA SCAN.

Summary:
Magnetic moment in μB/cell: 0.000
DFT formation energy in eV/atom: 0.70
Density of states at the Fermi level in states/eV/f.u.: 1.84
SG: P4/mmm (123)
Excess energy over the best structure of this formula in the dataset in meV/atom: 0

```
data_Hg3W
_chemical_formula_sum 'Hg3 W1'
_space_group_name_H-M_alt 'P 1'
_space_group_IT_number 1
_space_group_name_Hall 'P 1'
_cell_length_a 2.876
_cell_length_b 2.876
_cell_length_c 9.465
_cell_angle_alpha 90.00
_cell_angle_beta 90.00
_cell_angle_gamma 90.00
loop_
_atom_site_label
_atom_site_fract_x
_atom_site_fract_y
_atom_site_fract_z
Hg1 0.500 0.500 0.000
W1 0.500 0.500 0.500
Hg2 0.000 0.000 0.274
Hg3 0.000 0.000 0.726
```


Record 2
This record from the Alexandria database describes a PBEsol-optimized structure of BiNCl3. The functional is meta-GGA SCAN.

Summary:
Magnetic moment in μB/cell: 0.452
Density of states at the Fermi level in states/eV/f.u.: 3.11
E_form (uncorrected) in meV/atom: 795
SG: Pm-3m (221)

```
data_BiNCl3
_chemical_formula_sum 'Bi1 N1 Cl3'
_space_group_name_H-M_alt 'P 1'
_space_group_IT_number 1
_space_group_name_Hall 'P 1'
_cell_length_a 4.478
_cell_length_b 4.478
_cell_length_c 4.478
_cell_angle_alpha 90.00
_cell_angle_beta 90.00
_cell_angle_gamma 90.00
loop_
_atom_site_label
_atom_site_fract_x
_atom_site_fract_y
_atom_site_fract_z
N1 0.000 0.000 0.000
Bi1 0.500 0.500 0.500
Cl1 0.000 0.000 0.500
Cl2 0.500 0.000 0.000
Cl3 0.000 0.500 0.000
```


Record 3
This record from the Alexandria database describes a PBEsol-optimized structure of LiBeIn2. The functional is meta-GGA SCAN.

Summary:
Magnetic moment in μB/cell: 0.000
DFT formation energy in eV/atom: 0.12
Density of states at the Fermi level in states/eV/f.u.: 1.08
SG: P4mm (99)

```
data_LiBeIn2
_chemical_formula_sum 'Li1 Be1 In2'
_space_group_name_H-M_alt 'P 1'
_space_group_IT_number 1
_space_group_name_Hall 'P 1'
_cell_length_a 3.644
_cell_length_b 3.644
_cell_length_c 5.427
_cell_angle_alpha 90.00
_cell_angle_beta 90.00
_cell_angle_gamma 90.00
loop_
_atom_site_label
_atom_site_fract_x
_atom_site_fract_y
_atom_site_fract_z
Li1 0.000 0.000 0.496
In1 0.000 0.000 0.967
Be1 0.500 0.500 0.761
In2 0.500 0.500 0.275
```


no.,VASP energy (eV/cell)
1,-271.40
2,-107.83
3,-73.02